CoCuP, relaxed, DFT PBE; density of states at the Fermi level = 2.52 states/eV per cell; DFT total energy = -5.50 eV per atom
1.0
-0.7015 -0.9727 -2.4357
2.3249 -0.7894 1.1588
-2.6922 -4.2810 2.4849
Co P Cu
1 1 1
Direct
0.0000 0.0000 0.9699 Co
0.3333 0.6667 0.6931 P
0.6667 0.3333 0.3370 Cu